## a
Material: Re2IrPt
Method: DFT, meta-GGA SCAN
State: single point on PBEsol structure

a = 6.1832 Å, b = 6.1832 Å, c = 6.1832 Å
α = 90.00°, β = 90.00°, γ = 90.00°
Closest atoms and distances in Å follow each position.
Space group F-43m (No. 216)
Unique sites:
Re 0.0000 0.0000 0.0000  4 Re 2.68, 4 Pt 2.68
Re 0.2500 0.2500 0.2500  4 Re 2.68, 4 Ir 2.68
Ir 0.0000 0.0000 0.5000  4 Re 2.68, 4 Pt 2.68
Pt 0.2500 0.2500 0.7500  4 Re 2.68, 4 Ir 2.68

Its size of the total moment is 0.000 μB/atom.

## b
Material: Re2IrPt
Method: DFT, meta-GGA SCAN
State: single point on PBEsol structure

a = 5.3866 Å, b = 7.9074 Å, c = 2.7017 Å
α = 90.00°, β = 90.00°, γ = 90.00°
Closest atoms and distances in Å follow each position.
Space group Cmmm (No. 65)
Unique sites:
Re 0.2500 0.2500 0.0000  4 Re 2.69-2.70, 4 Ir 2.75, 4 Pt 2.75
Ir 0.0000 0.0000 0.5000  2 Pt 2.69, 2 Ir 2.70, 8 Re 2.75
Pt 0.0000 0.5000 0.5000  2 Ir 2.69, 2 Pt 2.70, 8 Re 2.75

Its size of the total moment is 0.000 μB/atom.

## c
Material: Re2IrPt
Method: DFT, meta-GGA SCAN
State: single point on PBEsol structure

a = 2.7253 Å, b = 4.3909 Å, c = 4.8184 Å
α = 90.00°, β = 90.00°, γ = 90.00°
Closest atoms and distances in Å follow each position.
Space group Pmm2 (No. 25)
Unique sites:
Re 0.0000 0.0000 0.0000  4 Re 2.69-2.73, 4 Ir 2.71, 4 Pt 2.77
Re 0.0000 0.5000 0.3212  4 Re 2.69-2.73, 4 Pt 2.72, 4 Ir 2.74-2.80
Ir 0.5000 0.5000 0.8287  2 Pt 2.71, 8 Re 2.71-2.80, 2 Ir 2.73
Pt 0.5000 0.0000 0.4998  2 Ir 2.71, 8 Re 2.72-2.77, 2 Pt 2.73

Its size of the total moment is 0.000 μB/atom.

Ranking the structures above by energy, c is first and the second is 0.121 eV/atom behind.